## Pm2Pr4Tm5 (PBE-GGA)

Data for a relaxed structure of Pm2Pr4Tm5.

Calculated values
For the volume, the calculation gives 33.21 Å³ per atom. As for the formation energy: 0.099 eV/atom. As for the density of states at the Fermi level: 38.14 states/eV per cell.

Cell: 19.5040 5.8586 6.4122 Å, 90.00 94.41 90.00°
Last column: nearest neighbours and their distance in Å.
Space group C2/m (No. 12)
Inequivalent atoms, fractional coordinates:
Pm  0.0987  0.0000  0.0474  7 Tm 3.53-3.89, 4 Pr 3.61-3.71, 1 Pm 3.85
Pr  0.0362  0.5000  0.7632  5 Tm 3.30-3.53, 2 Pr 3.45-3.56, 2 Pm 3.61
Pr  0.1923  0.0000  0.5739  8 Tm 3.43-3.74, 2 Pm 3.66-3.71
Tm  0.0000  0.0000  0.5000  6 Pr 3.43-3.74, 2 Pm 3.60
Tm  0.1320  0.5000  0.3466  5 Pr 3.30-3.44, 1 Tm 3.45, 2 Pm 3.53
Tm  0.2157  0.5000  0.8921  4 Tm 3.45-3.74, 5 Pr 3.53-3.74, 1 Pm 3.61


## KIn3Ga2 (PBE-GGA)

Data for a relaxed structure of KIn3Ga2.

Calculated values
For the volume, the calculation gives 28.98 Å³ per atom. As for the formation energy: -0.044 eV/atom. As for the density of states at the Fermi level: 10.39 states/eV per cell.

Cell: 11.8675 10.3556 5.6600 Å, 90.00 90.00 90.00°
Last column: nearest neighbours and their distance in Å.
Space group Cmcm (No. 63)
Inequivalent atoms, fractional coordinates:
K  0.0000  0.1612  0.2500  8 In 3.65-4.02, 4 Ga 3.91
In  0.0000  0.4373  0.7500  4 In 3.09-3.11, 4 Ga 3.11
In  0.1859  0.2284  0.7500  4 Ga 2.95-3.19, 3 In 3.09-3.24
Ga  0.2266  0.5000  0.0000  2 Ga 2.83, 4 In 2.95-3.11


## TmPaGaRe (PBE-GGA)

Data for a relaxed structure of TmPaGaRe.

Calculated values
For the volume, the calculation gives 21.14 Å³ per atom. As for the formation energy: -0.120 eV/atom. As for the density of states at the Fermi level: 11.84 states/eV per cell.

Cell: 6.9670 6.9670 6.9670 Å, 90.00 90.00 90.00°
Last column: nearest neighbours and their distance in Å.
Space group F-43m (No. 216)
Inequivalent atoms, fractional coordinates:
Tm  0.0000  0.0000  0.0000  4 Re 3.02, 4 Ga 3.02
Pa  0.0000  0.0000  0.5000  4 Re 3.02, 4 Ga 3.02
Ga  0.2500  0.2500  0.7500  4 Pa 3.02, 4 Tm 3.02
Re  0.2500  0.2500  0.2500  4 Pa 3.02, 4 Tm 3.02


## Np3RhS6 (PBE-GGA)

Data for a relaxed structure of Np3RhS6.

Calculated values
For the volume, the calculation gives 20.89 Å³ per atom. Its uncorrected formation energy is -1.168 eV per atom. As for the density of states at the Fermi level: 99.75 states/eV per cell.

Cell: 10.6371 12.5693 6.2501 Å, 90.00 90.00 90.00°
Last column: nearest neighbours and their distance in Å.
Space group Cmc2_1 (No. 36)
Inequivalent atoms, fractional coordinates:
Np  0.0000  0.1103  0.0000  7 S 2.66-2.76
Np  0.1791  0.3965  0.8815  7 S 2.70-2.85
Rh  0.0000  0.3508  0.3683  5 S 2.40-2.46
S  0.0000  0.2662  0.7132  1 Rh 2.40, 1 Np 2.66
S  0.0000  0.4981  0.1164  2 Rh 2.43-2.45
S  0.1599  0.0338  0.6882  4 Np 2.72-2.76
S  0.1645  0.2444  0.1934  1 Rh 2.46, 3 Np 2.70-2.73


## SmDyEr2 (PBE-GGA)

Data for a relaxed structure of SmDyEr2.

Calculated values
For the volume, the calculation gives 31.49 Å³ per atom. As for the formation energy: 0.022 eV/atom. As for the density of states at the Fermi level: 5.35 states/eV per cell.

Cell: 3.5437 3.5437 10.0301 Å, 90.00 90.00 90.00°
Last column: nearest neighbours and their distance in Å.
Space group P4/mmm (No. 123)
Inequivalent atoms, fractional coordinates:
Sm  0.0000  0.0000  0.0000  4 Sm 3.54, 8 Er 3.56
Dy  0.0000  0.0000  0.5000  8 Er 3.53, 4 Dy 3.54
Er  0.5000  0.5000  0.2528  4 Dy 3.53, 4 Er 3.54, 4 Sm 3.56


## Sr2TcPt (PBE-GGA)

Data for a relaxed structure of Sr2TcPt.

Calculated values
For the volume, the calculation gives 28.99 Å³ per atom. As for the formation energy: 0.191 eV/atom. As for the density of states at the Fermi level: 10.12 states/eV per cell.

Cell: 4.8529 5.3375 8.9544 Å, 90.00 90.00 90.00°
Last column: nearest neighbours and their distance in Å.
Space group Cmm2 (No. 35)
Inequivalent atoms, fractional coordinates:
Sr  0.0000  0.0000  0.0000  1 Tc 2.94, 2 Pt 3.27
Sr  0.0000  0.5000  0.4114  1 Pt 3.07, 2 Tc 3.37
Tc  0.0000  0.0000  0.6719  4 Pt 2.54-2.77
Pt  0.0000  0.5000  0.7546  4 Tc 2.54-2.77


## PaH6Ru2 (PBE-GGA)

Data for a relaxed structure of PaH6Ru2.

Calculated values
For the volume, the calculation gives 8.93 Å³ per atom. Its total DFT energy (no corrections) is -99.1 eV for the cell shown. As for the density of states at the Fermi level: 7.01 states/eV per cell.

Cell: 5.6531 6.9417 4.2346 Å, 90.00 104.57 90.00°
Last column: nearest neighbours and their distance in Å.
Space group C2/m (No. 12)
Inequivalent atoms, fractional coordinates:
Pa  0.0000  0.0000  0.0000  8 H 2.42-2.63
H  0.0569  0.3077  0.7633  2 Ru 1.79-1.85
H  0.2500  0.0000  0.6130  2 Ru 1.80
Ru  0.2500  0.2500  0.5000  6 H 1.79-1.85


## Nd4BiTe (PBE-GGA)

Data for a relaxed structure of Nd4BiTe.

Calculated values
For the volume, the calculation gives 33.50 Å³ per atom. Its uncorrected formation energy is -0.533 eV per atom. As for the density of states at the Fermi level: 15.56 states/eV per cell.

Cell: 5.8190 7.8972 10.0024 Å, 112.83 106.84 90.15°
Last column: nearest neighbours and their distance in Å.
Space group P-1 (No. 2)
Inequivalent atoms, fractional coordinates:
Nd  0.0692  0.2175  0.1391  3 Te 3.03-3.37, 1 Bi 3.36, 1 Nd 3.39
Nd  0.1749  0.8151  0.3492  3 Bi 3.14-3.38, 1 Te 3.26, 3 Nd 3.43-3.44
Nd  0.3257  0.6856  0.6507  3 Bi 3.14-3.38, 1 Te 3.26, 3 Nd 3.43-3.44
Nd  0.4301  0.2825  0.8610  3 Te 3.03-3.37, 1 Bi 3.36, 1 Nd 3.38
Bi  0.2498  0.2504  0.5002  8 Nd 3.14-3.38
Te  0.0000  0.5000  0.0000  8 Nd 3.03-3.37
Te  0.5000  0.0000  0.0000  8 Nd 3.03-3.37


## Pa3GaSi (PBE-GGA)

Data for a relaxed structure of Pa3GaSi.

Calculated values
For the volume, the calculation gives 23.69 Å³ per atom. Its uncorrected formation energy is 0.118 eV per atom. As for the density of states at the Fermi level: 17.78 states/eV per cell.

Cell: 7.1664 7.1664 5.3261 Å, 90.00 90.00 120.00°
Last column: nearest neighbours and their distance in Å.
Space group P6_3/mmc (No. 194)
Inequivalent atoms, fractional coordinates:
Pa  0.2055  0.4110  0.2500  2 Pa 2.75, 2 Ga 2.88
Ga  0.0000  0.0000  0.0000  2 Ga 2.66, 6 Pa 2.88
Si  0.3333  0.6667  0.7500  6 Pa 3.10


## CdIn2HPb (PBE-GGA)

Data for a relaxed structure of CdIn2HPb.

Calculated values
For the volume, the calculation gives 22.96 Å³ per atom. Its total DFT energy (no corrections) is -12.4 eV for the cell shown. As for the density of states at the Fermi level: 2.68 states/eV per cell.

Cell: 4.7112 4.7112 5.1720 Å, 90.00 90.00 90.00°
Last column: nearest neighbours and their distance in Å.
Space group P4/mmm (No. 123)
Inequivalent atoms, fractional coordinates:
Cd  0.0000  0.0000  0.0000  2 H 2.59
In  0.0000  0.5000  0.5000  2 H 2.36
H  0.0000  0.0000  0.5000  4 In 2.36, 2 Cd 2.59
Pb  0.5000  0.5000  0.0000  4 Cd 3.33, 8 In 3.50


## SbCl2 (PBE-GGA)

Data for a relaxed structure of SbCl2.

Calculated values
For the volume, the calculation gives 29.38 Å³ per atom. Its uncorrected formation energy is -0.146 eV per atom. As for the density of states at the Fermi level: 12.02 states/eV per cell.

Cell: 6.2767 6.2767 10.3334 Å, 90.00 90.00 120.00°
Last column: nearest neighbours and their distance in Å.
Space group P6_3/mmc (No. 194)
Inequivalent atoms, fractional coordinates:
Sb  0.3333  0.6667  0.0650  3 Cl 2.62
Cl  0.0000  0.0000  0.0000  6 Cl 3.17
Cl  0.1685  0.3370  0.2500  2 Sb 2.62


## K2TlSeCl (PBE-GGA)

Data for a relaxed structure of K2TlSeCl.

Calculated values
For the volume, the calculation gives 38.49 Å³ per atom. Its uncorrected formation energy is -0.890 eV per atom. As for the density of states at the Fermi level: 0.00 states/eV per cell.

Cell: 5.7132 5.7132 5.8957 Å, 90.00 90.00 90.00°
Last column: nearest neighbours and their distance in Å.
Space group P4/mmm (No. 123)
Inequivalent atoms, fractional coordinates:
K  0.0000  0.5000  0.0000  2 Cl 2.86
Tl  0.0000  0.0000  0.5000  2 Cl 2.95
Se  0.5000  0.5000  0.5000  4 Tl 4.04, 8 K 4.10
Cl  0.0000  0.0000  0.0000  4 K 2.86, 2 Tl 2.95


## BiIrS2 (PBE-GGA)

Data for a relaxed structure of BiIrS2.

Calculated values
For the volume, the calculation gives 22.61 Å³ per atom. Its uncorrected formation energy is -0.301 eV per atom. As for the density of states at the Fermi level: 2.43 states/eV per cell.

Cell: 3.5939 3.5939 24.2591 Å, 90.00 90.00 120.00°
Last column: nearest neighbours and their distance in Å.
Space group R-3m (No. 166, hexagonal axes)
Inequivalent atoms, fractional coordinates:
Bi  0.0000  0.0000  0.0000  2 S 2.87
Ir  0.0000  0.0000  0.5000  6 S 2.38
S  0.0000  0.0000  0.1185  3 Ir 2.38


## LaYCu3 (PBE-GGA)

Data for a relaxed structure of LaYCu3.

Calculated values
For the volume, the calculation gives 25.45 Å³ per atom. As for the formation energy: 0.471 eV/atom. As for the density of states at the Fermi level: 4.86 states/eV per cell.

Cell: 5.0298 5.0298 5.0298 Å, 90.00 90.00 90.00°
Last column: nearest neighbours and their distance in Å.
Space group Pm-3m (No. 221)
Inequivalent atoms, fractional coordinates:
La  0.0000  0.0000  0.0000  12 Cu 3.56
Y  0.5000  0.5000  0.5000  6 Cu 2.51
Cu  0.0000  0.5000  0.5000  2 Y 2.51


## Ga3Pb2AuO8 (PBE-GGA)

Data for a relaxed structure of Ga3Pb2AuO8.

Calculated values
For the volume, the calculation gives 13.45 Å³ per atom. Its uncorrected formation energy is -1.184 eV per atom. As for the density of states at the Fermi level: 4.91 states/eV per cell.

Cell: 6.2233 6.2233 16.8381 Å, 90.00 90.00 120.00°
Last column: nearest neighbours and their distance in Å.
Space group R3m (No. 160, hexagonal axes)
Inequivalent atoms, fractional coordinates:
Ga  0.0006  0.5003  0.0000  6 O 2.01-2.08
Pb  0.0000  0.0000  0.1354  4 O 2.29-2.42
Pb  0.0000  0.0000  0.5040  6 O 2.27-2.29
Au  0.0000  0.0000  0.8520  1 O 2.13
O  0.0000  0.0000  0.2795  3 Ga 2.01
O  0.0000  0.0000  0.7253  3 Ga 2.05, 1 Au 2.13
O  0.0348  0.5174  0.2658  2 Ga 2.06, 1 Pb 2.27
O  0.1880  0.3761  0.0715  2 Ga 2.08, 2 Pb 2.29